No. 1
{"formula": "TiPPtCl2", "functional": "PBE", "state": "optimized geometry", "lattice_angstrom": [[4.834, 0.000, 0.000], [0.000, 4.834, 0.000], [0.000, 0.000, 4.771]], "species": ["Ti", "P", "Pt", "Cl", "Cl"], "frac_coords": [[0.000, 0.000, 0.000], [0.500, 0.500, 0.000], [0.500, 0.500, 0.500], [0.000, 0.500, 0.500], [0.500, 0.000, 0.500]], "e_tot_ev_per_fu": -21.2, "formation_energy_uncorrected_mev_per_atom": 369}

=====

No. 2
{"formula": "TlPPtCl2", "functional": "PBE", "state": "optimized geometry", "lattice_angstrom": [[5.129, 0.000, 0.000], [0.000, 5.129, 0.000], [0.000, 0.000, 5.439]], "species": ["Tl", "P", "Pt", "Cl", "Cl"], "frac_coords": [[0.000, 0.000, 0.000], [0.000, 0.000, 0.500], [0.500, 0.500, 0.500], [0.000, 0.500, 0.000], [0.500, 0.000, 0.000]], "e_tot_ev_per_fu": -12.6, "formation_energy_uncorrected_mev_per_atom": 977}

=====

No. 3
{"formula": "TlP2PtCl", "functional": "PBE", "state": "optimized geometry", "lattice_angstrom": [[5.118, 0.000, 0.000], [0.000, 5.118, 0.000], [0.000, 0.000, 5.036]], "species": ["Tl", "P", "P", "Pt", "Cl"], "frac_coords": [[0.000, 0.000, 0.000], [0.000, 0.500, 0.000], [0.500, 0.000, 0.000], [0.500, 0.500, 0.500], [0.000, 0.000, 0.500]], "e_tot_ev_per_fu": -13.7, "formation_energy_uncorrected_mev_per_atom": 1475}

=====

No. 4
{"formula": "TlPPtCl2", "functional": "PBE", "state": "optimized geometry", "lattice_angstrom": [[5.346, 0.000, 0.000], [0.000, 5.346, 0.000], [0.000, 0.000, 4.465]], "species": ["Tl", "P", "Pt", "Cl", "Cl"], "frac_coords": [[0.000, 0.000, 0.000], [0.500, 0.500, 0.000], [0.500, 0.500, 0.500], [0.000, 0.500, 0.500], [0.500, 0.000, 0.500]], "e_tot_ev_per_fu": -18.3, "formation_energy_uncorrected_mev_per_atom": -162}

=====

No. 5
{"formula": "TlP2PtCl", "functional": "PBE", "state": "optimized geometry", "lattice_angstrom": [[4.488, 0.000, 0.000], [0.000, 4.488, 0.000], [0.000, 0.000, 8.387]], "species": ["Tl", "P", "P", "Pt", "Cl"], "frac_coords": [[0.000, 0.000, 0.000], [0.000, 0.500, 0.500], [0.500, 0.000, 0.500], [0.500, 0.500, 0.500], [0.500, 0.500, 0.000]], "e_tot_ev_per_fu": -20.5, "formation_energy_uncorrected_mev_per_atom": 119}

=====

No. 6
{"formula": "VP2PtCl", "functional": "PBE", "state": "optimized geometry", "lattice_angstrom": [[4.648, 0.000, 0.000], [0.000, 4.648, 0.000], [0.000, 0.000, 4.838]], "species": ["V", "P", "P", "Pt", "Cl"], "frac_coords": [[0.000, 0.000, 0.000], [0.000, 0.500, 0.500], [0.500, 0.000, 0.500], [0.500, 0.500, 0.500], [0.500, 0.500, 0.000]], "e_tot_ev_per_fu": -23.1, "formation_energy_uncorrected_mev_per_atom": 951}

=====

No. 7
{"formula": "VP2PtCl", "functional": "PBE", "state": "optimized geometry", "lattice_angstrom": [[4.643, 0.000, 0.000], [0.000, 4.643, 0.000], [0.000, 0.000, 4.290]], "species": ["V", "P", "P", "Pt", "Cl"], "frac_coords": [[0.000, 0.000, 0.000], [0.000, 0.500, 0.000], [0.500, 0.000, 0.000], [0.500, 0.500, 0.500], [0.000, 0.000, 0.500]], "e_tot_ev_per_fu": -25.3, "formation_energy_uncorrected_mev_per_atom": 505}

=====

No. 8
{"formula": "VPPtCl2", "functional": "PBE", "state": "optimized geometry", "lattice_angstrom": [[4.354, 0.000, 0.000], [0.000, 4.354, 0.000], [0.000, 0.000, 5.137]], "species": ["V", "P", "Pt", "Cl", "Cl"], "frac_coords": [[0.000, 0.000, 0.000], [0.000, 0.000, 0.500], [0.500, 0.500, 0.500], [0.000, 0.500, 0.000], [0.500, 0.000, 0.000]], "e_tot_ev_per_fu": -22.5, "formation_energy_uncorrected_mev_per_atom": 346}

=====

No. 9
{"formula": "VPPtCl2", "functional": "PBE", "state": "optimized geometry", "lattice_angstrom": [[4.843, 0.000, 0.000], [0.000, 4.843, 0.000], [0.000, 0.000, 4.724]], "species": ["V", "P", "Pt", "Cl", "Cl"], "frac_coords": [[0.000, 0.000, 0.000], [0.500, 0.500, 0.000], [0.500, 0.500, 0.500], [0.000, 0.500, 0.500], [0.500, 0.000, 0.500]], "e_tot_ev_per_fu": -20.3, "formation_energy_uncorrected_mev_per_atom": 793}

=====

No. 10
{"formula": "P2PtWCl", "functional": "PBE", "state": "optimized geometry", "lattice_angstrom": [[4.663, 0.000, 0.000], [0.000, 4.663, 0.000], [0.000, 0.000, 4.736]], "species": ["P", "P", "Pt", "W", "Cl"], "frac_coords": [[0.000, 0.500, 0.000], [0.500, 0.000, 0.000], [0.000, 0.000, 0.000], [0.500, 0.500, 0.500], [0.000, 0.000, 0.500]], "e_tot_ev_per_fu": -25.0, "formation_energy_uncorrected_mev_per_atom": 1335}

=====

No. 11
{"formula": "P2PtWCl", "functional": "PBE", "state": "optimized geometry", "lattice_angstrom": [[4.756, 0.000, 0.000], [0.000, 4.756, 0.000], [0.000, 0.000, 4.515]], "species": ["P", "P", "Pt", "W", "Cl"], "frac_coords": [[0.000, 0.500, 0.000], [0.500, 0.000, 0.000], [0.000, 0.000, 0.500], [0.500, 0.500, 0.000], [0.500, 0.500, 0.500]], "e_tot_ev_per_fu": -27.7, "formation_energy_uncorrected_mev_per_atom": 794}

=====

No. 12
{"formula": "YPPtCl2", "functional": "PBE", "state": "optimized geometry", "lattice_angstrom": [[5.010, 0.000, 0.000], [0.000, 5.010, 0.000], [0.000, 0.000, 5.817]], "species": ["Y", "P", "Pt", "Cl", "Cl"], "frac_coords": [[0.000, 0.000, 0.000], [0.000, 0.000, 0.500], [0.500, 0.500, 0.500], [0.000, 0.500, 0.000], [0.500, 0.000, 0.000]], "e_tot_ev_per_fu": -22.1, "formation_energy_uncorrected_mev_per_atom": -107}